BaNdEuVO6 | PBE with a Hubbard U | relaxed

## Properties
The value obtained for the density is 6.43 g cm⁻³. For the final energy, the calculation gives -321.2 eV per cell. The density of states at the Fermi level comes out at 68.44 states/eV per cell.

Structure (CIF):
```
data_BaNdEuVO6
_space_group_name_H-M_alt 'F -4 3 m'
_space_group_IT_number 216
_space_group_name_Hall 'F -4 2 3'
_cell_length_a 8.4320
_cell_length_b 8.4320
_cell_length_c 8.4320
_cell_angle_alpha 90.00
_cell_angle_beta 90.00
_cell_angle_gamma 90.00
loop_
_atom_site_label
_atom_site_type_symbol
_atom_site_fract_x
_atom_site_fract_y
_atom_site_fract_z
Ba1 Ba 0.0000 0.0000 0.0000
Nd1 Nd 0.2500 0.2500 0.7500
Eu1 Eu 0.0000 0.0000 0.5000
V1 V 0.2500 0.2500 0.2500
O1 O 0.0234 0.2500 0.2500
```